# 1
The following is a DFT calculation (PBE-GGA) of crystalline ZnTcGe2 at its relaxed geometry.

Properties
E_form in eV per atom: 0.0647
Mass density in g/cm3: 8.376
DOS at the Fermi energy in states/eV/atom: 0.604
E_tot in eV/cell: -20.62
Magnetic moment in μB/cell: 0.000
Crystal system: tetragonal

a b c (Å): 3.3126 3.3126 5.5770
angles (deg): 90.00 90.00 90.00
With the nearest neighbours (Å) after each atom.
Fractional positions:
Zn (0.5000, 0.5000, 0.5000)  8 Ge 2.74, 2 Tc 2.79
Ge (0.0000, 0.0000, 0.7556)  4 Tc 2.71, 2 Ge 2.73-2.85, 4 Zn 2.74
Ge (0.0000, 0.0000, 0.2444)  4 Tc 2.71, 2 Ge 2.73-2.85, 4 Zn 2.74
Tc (0.5000, 0.5000, 0.0000)  8 Ge 2.71, 2 Zn 2.79

---

# 2
The following is a DFT calculation (PBE-GGA) of crystalline ZnTcGe at its relaxed geometry.

Properties
E_form in eV per atom: 0.4416
Mass density in g/cm3: 7.336
DOS at the Fermi energy in states/eV/atom: 1.323
E_tot in eV/cell: -14.93
Excess energy over the best structure of this formula in the dataset in eV per atom: 0.4779
Magnetic moment in μB/cell: 0.078
Crystal system: tetragonal

a b c (Å): 2.8352 2.8352 6.9430
angles (deg): 101.78 101.78 90.00
With the nearest neighbours (Å) after each atom.
Fractional positions:
Zn (0.9498, 0.9498, 0.8995)  1 Ge 2.50, 1 Tc 2.51
Ge (0.7615, 0.7615, 0.5230)  1 Zn 2.50, 4 Tc 2.59
Tc (0.1387, 0.1387, 0.2774)  1 Zn 2.51, 4 Ge 2.59

---

# 3
The following is a DFT calculation (PBE-GGA) of crystalline ZnTcGe3 at its relaxed geometry.

Properties
E_form in eV per atom: 1.1582
Mass density in g/cm3: 5.891
DOS at the Fermi energy in states/eV/atom: 0.691
E_tot in eV/cell: -19.70
Excess energy over the best structure of this formula in the dataset in eV per atom: 0.8519
Magnetic moment in μB/cell: 3.100
Crystal system: cubic

a b c (Å): 4.7548 4.7548 4.7548
angles (deg): 90.00 90.00 90.00
With the nearest neighbours (Å) after each atom.
Fractional positions:
Zn (0.0000, 0.0000, 0.0000)  6 Ge 2.38
Ge (0.0000, 0.5000, 0.0000)  2 Zn 2.38
Ge (0.0000, 0.0000, 0.5000)  2 Zn 2.38
Ge (0.5000, 0.0000, 0.0000)  2 Zn 2.38
Tc (0.5000, 0.5000, 0.5000)  12 Ge 3.36

---

# 4
The following is a DFT calculation (PBE-GGA) of crystalline ZnTcGe2 at its relaxed geometry.

Properties
E_form in eV per atom: 0.0910
Mass density in g/cm3: 7.743
DOS at the Fermi energy in states/eV/atom: 0.712
E_tot in eV/cell: -20.51
Magnetic moment in μB/cell: 0.000
Crystal system: trigonal

a b c (Å): 3.0742 3.0742 8.2809
angles (deg): 79.30 79.30 60.00
With the nearest neighbours (Å) after each atom.
Fractional positions:
Zn (0.5007, 0.5007, 0.4980)  6 Ge 2.80-2.83, 6 Zn 3.07
Tc (0.6658, 0.6658, 0.0025)  6 Ge 2.55-2.59
Ge (0.0767, 0.0767, 0.7699)  3 Tc 2.59, 3 Zn 2.83
Ge (0.2568, 0.2568, 0.2296)  3 Tc 2.55, 3 Zn 2.80

---

# 5
The following is a DFT calculation (PBE-GGA) of crystalline Zn2Tc2Ge at its relaxed geometry.

Properties
E_form in eV per atom: 0.0575
Mass density in g/cm3: 8.260
DOS at the Fermi energy in states/eV/atom: 0.427
E_tot in eV/cell: -55.22
Magnetic moment in μB/cell: 0.000
Crystal system: tetragonal

a b c (Å): 6.2682 6.2682 4.0875
angles (deg): 90.00 90.00 90.00
With the nearest neighbours (Å) after each atom.
Fractional positions:
Zn (0.1626, 0.6626, 0.5000)  6 Tc 2.71-2.78, 1 Zn 2.88
Zn (0.6626, 0.8374, 0.5000)  6 Tc 2.71-2.78, 1 Zn 2.88
Zn (0.8374, 0.3374, 0.5000)  6 Tc 2.71-2.78, 1 Zn 2.88
Zn (0.3374, 0.1626, 0.5000)  6 Tc 2.71-2.78, 1 Zn 2.88
Ge (0.0000, 0.0000, 0.0000)  4 Tc 2.43
Ge (0.5000, 0.5000, 0.0000)  4 Tc 2.43
Tc (0.3638, 0.8638, 0.0000)  1 Tc 2.41, 2 Ge 2.43
Tc (0.8638, 0.6362, 0.0000)  1 Tc 2.41, 2 Ge 2.43
Tc (0.6362, 0.1362, 0.0000)  1 Tc 2.41, 2 Ge 2.43
Tc (0.1362, 0.3638, 0.0000)  1 Tc 2.41, 2 Ge 2.43

---

# 6
The following is a DFT calculation (PBE-GGA) of crystalline ZnTcGe2 at its relaxed geometry.

Properties
E_form in eV per atom: 0.0318
Mass density in g/cm3: 7.318
DOS at the Fermi energy in states/eV/atom: 0.820
E_tot in eV/cell: -20.75
Magnetic moment in μB/cell: 0.000
Crystal system: trigonal

a b c (Å): 3.0699 3.0699 8.7633
angles (deg): 79.91 79.91 60.00
With the nearest neighbours (Å) after each atom.
Fractional positions:
Zn (0.0000, 0.0000, 0.0000)  2 Ge 2.46
Ge (0.0957, 0.0957, 0.7129)  1 Zn 2.46, 3 Tc 2.55
Ge (0.9043, 0.9043, 0.2871)  1 Zn 2.46, 3 Tc 2.55
Tc (0.5000, 0.5000, 0.5000)  6 Ge 2.55

---

# 7
The following is a DFT calculation (PBE-GGA) of crystalline Zn2TcGe at its relaxed geometry.

Properties
E_form in eV per atom: 0.1027
Mass density in g/cm3: 8.440
DOS at the Fermi energy in states/eV/atom: 0.718
E_tot in eV/cell: -17.12
Magnetic moment in μB/cell: 0.000
Crystal system: monoclinic

a b c (Å): 3.1309 4.1527 4.6353
angles (deg): 100.23 90.00 90.00
With the nearest neighbours (Å) after each atom.
Fractional positions:
Zn (0.0000, 0.0000, 0.0000)  4 Zn 2.60, 4 Ge 2.80, 2 Tc 2.82
Zn (0.5000, 0.5000, 0.0000)  4 Zn 2.60, 4 Tc 2.80, 2 Ge 2.82
Tc (0.0000, 0.5000, 0.5000)  4 Ge 2.60, 6 Zn 2.80-2.82
Ge (0.5000, 0.0000, 0.5000)  4 Tc 2.60, 6 Zn 2.80-2.82

---

# 8
The following is a DFT calculation (PBE-GGA) of crystalline ZnTc2Ge at its relaxed geometry.

Properties
E_form in eV per atom: 0.5035
Mass density in g/cm3: 8.747
DOS at the Fermi energy in states/eV/atom: 0.989
E_tot in eV/cell: -49.22
Excess energy over the best structure of this formula in the dataset in eV per atom: 0.3996
Magnetic moment in μB/cell: 0.003
Crystal system: tetragonal

a b c (Å): 6.9493 6.9493 5.5717
angles (deg): 51.42 51.42 90.00
With the nearest neighbours (Å) after each atom.
Fractional positions:
Zn (0.5000, 0.5000, 0.0000)  2 Ge 2.63, 4 Tc 2.65
Zn (0.2500, 0.7500, 0.5000)  2 Ge 2.63, 4 Tc 2.65
Ge (0.0000, 0.0000, 0.0000)  4 Tc 2.44, 2 Zn 2.63
Ge (0.7500, 0.2500, 0.5000)  4 Tc 2.44, 2 Zn 2.63
Tc (0.6471, 0.1250, 0.2500)  2 Ge 2.44, 2 Tc 2.64, 2 Zn 2.65
Tc (0.1029, 0.6250, 0.2500)  2 Ge 2.44, 2 Tc 2.64, 2 Zn 2.65
Tc (0.3750, 0.3529, 0.7500)  2 Ge 2.44, 2 Tc 2.64, 2 Zn 2.65
Tc (0.8750, 0.8971, 0.7500)  2 Ge 2.44, 2 Tc 2.64, 2 Zn 2.65

---

# 9
The following is a DFT calculation (PBE-GGA) of crystalline ZnTc2Ge at its relaxed geometry.

Properties
E_form in eV per atom: 0.3508
Mass density in g/cm3: 7.022
DOS at the Fermi energy in states/eV/atom: 0.862
E_tot in eV/cell: -25.22
Excess energy over the best structure of this formula in the dataset in eV per atom: 0.2469
Magnetic moment in μB/cell: 0.000
Crystal system: trigonal

a b c (Å): 4.4255 4.4255 5.3121
angles (deg): 65.38 65.38 60.00
With the nearest neighbours (Å) after each atom.
Fractional positions:
Zn (0.0000, 0.0000, 0.0000)  2 Tc 2.48
Ge (0.5000, 0.5000, 0.5000)  6 Tc 2.56
Tc (0.1777, 0.1777, 0.4669)  1 Zn 2.48, 3 Ge 2.56, 3 Tc 2.57
Tc (0.8223, 0.8223, 0.5331)  1 Zn 2.48, 3 Ge 2.56, 3 Tc 2.57

---

# 10
The following is a DFT calculation (PBE-GGA) of crystalline ZnTcGe at its relaxed geometry.

Properties
E_form in eV per atom: 0.2827
Mass density in g/cm3: 7.917
DOS at the Fermi energy in states/eV/atom: 0.849
E_tot in eV/cell: -15.41
Excess energy over the best structure of this formula in the dataset in eV per atom: 0.3190
Magnetic moment in μB/cell: 0.225
Crystal system: orthorhombic

a b c (Å): 4.3390 4.4053 4.3384
angles (deg): 59.53 100.56 59.45
With the nearest neighbours (Å) after each atom.
Fractional positions:
Zn (0.4605, 0.3974, 0.9242)  4 Tc 2.59-2.60, 5 Ge 2.76-2.84
Tc (0.2573, 0.8970, 0.1288)  4 Ge 2.57-2.61, 4 Zn 2.59-2.60
Ge (0.0482, 0.3968, 0.3382)  4 Tc 2.57-2.61, 5 Zn 2.76-2.84

---

# 11
The following is a DFT calculation (PBE-GGA) of crystalline ZnTc2Ge at its relaxed geometry.

Properties
E_form in eV per atom: 0.1136
Mass density in g/cm3: 9.368
DOS at the Fermi energy in states/eV/atom: 0.808
E_tot in eV/cell: -26.17
Excess energy over the best structure of this formula in the dataset in eV per atom: 0.0097
Magnetic moment in μB/cell: 0.000
Crystal system: trigonal

a b c (Å): 2.8747 2.8747 8.4384
angles (deg): 80.19 80.19 60.00
With the nearest neighbours (Å) after each atom.
Fractional positions:
Zn (0.4999, 0.4999, 0.5004)  6 Tc 2.72, 6 Zn 2.87
Tc (0.0799, 0.0799, 0.7602)  3 Ge 2.59, 3 Zn 2.72, 6 Tc 2.87
Tc (0.2535, 0.2535, 0.2394)  3 Ge 2.58, 3 Zn 2.72, 6 Tc 2.87
Ge (0.6667, 0.6667, 0.0000)  6 Tc 2.58-2.59, 6 Ge 2.87

---

# 12
The following is a DFT calculation (PBE-GGA) of crystalline ZnTcGe at its relaxed geometry.

Properties
E_form in eV per atom: -0.0363
Mass density in g/cm3: 8.936
DOS at the Fermi energy in states/eV/atom: 0.877
E_tot in eV/cell: -32.73
Excess energy over the best structure of this formula in the dataset in eV per atom: 0.0000
Magnetic moment in μB/cell: 0.876
Crystal system: orthorhombic

a b c (Å): 4.8277 4.7914 5.0104
angles (deg): 75.95 61.20 59.75
With the nearest neighbours (Å) after each atom.
Fractional positions:
Zn (0.6499, 0.7003, 0.0000)  5 Ge 2.60-2.78, 5 Tc 2.60-2.78
Zn (0.8999, 0.2003, 0.5000)  5 Ge 2.60-2.78, 5 Tc 2.60-2.78
Tc (0.3163, 0.3674, 0.0000)  5 Ge 2.60-2.78, 5 Zn 2.60-2.78
Tc (0.5663, 0.8674, 0.5000)  5 Ge 2.60-2.78, 5 Zn 2.60-2.78
Ge (0.9832, 0.0336, 0.0000)  5 Tc 2.60-2.78, 5 Zn 2.60-2.78
Ge (0.2332, 0.5336, 0.5000)  5 Tc 2.60-2.78, 5 Zn 2.60-2.78

---

What did the first record say?
The following is a DFT calculation (PBE-GGA) of crystalline ZnTcGe2 at its relaxed geometry.

Properties
E_form in eV per atom: 0.0647
Mass density in g/cm3: 8.376
DOS at the Fermi energy in states/eV/atom: 0.604
E_tot in eV/cell: -20.62
Magnetic moment in μB/cell: 0.000
Crystal system: tetragonal

a b c (Å): 3.3126 3.3126 5.5770
angles (deg): 90.00 90.00 90.00
With the nearest neighbours (Å) after each atom.
Fractional positions:
Zn (0.5000, 0.5000, 0.5000)  8 Ge 2.74, 2 Tc 2.79
Ge (0.0000, 0.0000, 0.7556)  4 Tc 2.71, 2 Ge 2.73-2.85, 4 Zn 2.74
Ge (0.0000, 0.0000, 0.2444)  4 Tc 2.71, 2 Ge 2.73-2.85, 4 Zn 2.74
Tc (0.5000, 0.5000, 0.0000)  8 Ge 2.71, 2 Zn 2.79